# 1
An optimized crystal structure of ZrAlBr2F, computed with PBE.

Symmetry: P4/mmm, No. 123
V (Å³/cell): 110.6
Magnetization (μB per cell): 1.3
Crystal system: tetragonal
Theoretical density (g/cm3): 4.459
Uncorrected formation energy (eV/atom): -0.483

Cell: 5.5309 5.5309 3.6154 Å, 90.00 90.00 90.00°
Each line ends with the local moment (μB).
Sites, in units of the cell vectors:
F 0.0000 0.0000 0.0000  -0.02
Br 0.0000 0.5000 0.0000  -0.01
Br 0.5000 0.0000 0.0000  -0.01
Zr 0.5000 0.5000 0.5000  0.95
Al 0.0000 0.0000 0.5000  -0.05

=====

# 2
An optimized crystal structure of AlCuOs2, computed with PBE.

Symmetry: P4/mmm, No. 123
Formation energy (eV per atom): 0.0920
V (Å³/cell): 53.5
Magnetization (μB per cell): 0.0
Crystal system: tetragonal
Theoretical density (g/cm3): 14.621

Cell: 4.2083 4.2085 3.0203 Å, 90.00 90.00 90.00°
Sites, in units of the cell vectors:
Os 0.0000 0.0000 0.0000
Os 0.5000 0.5000 0.0000
Al 0.5000 0.0000 0.5000
Cu 0.0000 0.5000 0.5000

=====

# 3
An optimized crystal structure of Mg5Cu4, computed with PBE.

ΔE to the lowest computed polymorph (eV per atom): 0.000
Symmetry: P6_3/mcm, No. 193
Formation energy (eV per atom): -0.0378
V (Å³/cell): 298.3
Magnetization (μB per cell): 0.0
Crystal system: hexagonal
Theoretical density (g/cm3): 4.182

Cell: 7.9228 7.9228 5.4882 Å, 90.00 90.00 60.00°
Sites, in units of the cell vectors:
Cu 0.0000 0.0000 0.0000
Cu 0.0000 0.0000 0.5000
Cu 0.6262 0.3738 0.2500
Cu 0.0000 0.6262 0.2500
Cu 0.3738 0.0000 0.2500
Cu 0.3738 0.6262 0.7500
Cu 0.0000 0.3738 0.7500
Cu 0.6262 0.0000 0.7500
Mg 0.2896 0.7104 0.2500
Mg 0.0000 0.2896 0.2500
Mg 0.7104 0.0000 0.2500
Mg 0.7104 0.2896 0.7500
Mg 0.0000 0.7104 0.7500
Mg 0.2896 0.0000 0.7500
Mg 0.3333 0.3333 0.0000
Mg 0.6667 0.6667 0.5000
Mg 0.6667 0.6667 0.0000
Mg 0.3333 0.3333 0.5000

=====

# 4
An optimized crystal structure of TbY2Ru, computed with PBE.

ΔE to the lowest computed polymorph (eV per atom): 0.125
Symmetry: P4/mmm, No. 123
Formation energy (eV per atom): -0.1828
V (Å³/cell): 106.1
Magnetization (μB per cell): 0.0
Crystal system: tetragonal
Theoretical density (g/cm3): 6.853

Cell: 3.4436 3.4436 8.9456 Å, 90.00 90.00 90.00°
Sites, in units of the cell vectors:
Y 0.0000 0.0000 0.8153
Y 0.0000 0.0000 0.1847
Ru 0.5000 0.5000 0.0000
Tb 0.5000 0.5000 0.5000

=====

# 5
An optimized crystal structure of Al3Ag4, computed with PBE.

ΔE to the lowest computed polymorph (eV per atom): 0.013
Symmetry: P1, No. 1
Formation energy (eV per atom): -0.0384
V (Å³/cell): 119.5
Magnetization (μB per cell): 0.0
Crystal system: triclinic
Theoretical density (g/cm3): 7.120

Cell: 2.9804 7.0687 6.2971 Å, 112.13 101.48 92.17°
Sites, in units of the cell vectors:
Ag 0.9778 0.9941 0.9886
Ag 0.7115 0.1342 0.4322
Ag 0.4480 0.2996 0.8818
Ag 0.8821 0.5706 0.7040
Al 0.1544 0.4252 0.2892
Al 0.5579 0.7179 0.1388
Al 0.2682 0.8583 0.5655

=====

# 6
An optimized crystal structure of PrPbCl5, computed with PBE.

Symmetry: C2/c, No. 15
V (Å³/cell): 531.7
Magnetization (μB per cell): 0.0
Crystal system: monoclinic
Theoretical density (g/cm3): 3.282
Uncorrected formation energy (eV/atom): -1.731

Cell: 7.4284 7.4284 10.8261 Å, 109.24 109.24 86.66°
Sites, in units of the cell vectors:
Pr 0.0000 0.0000 0.0000
Pr 0.5000 0.5000 0.5000
Pb 0.9074 0.5926 0.2500
Pb 0.0926 0.4074 0.7500
Cl 0.8150 0.8933 0.1506
Cl 0.7962 0.2643 0.4842
Cl 0.3933 0.3150 0.6506
Cl 0.2298 0.2702 0.2500
Cl 0.2357 0.7038 0.0158
Cl 0.7643 0.2962 0.9842
Cl 0.7702 0.7298 0.7500
Cl 0.6067 0.6850 0.3494
Cl 0.2038 0.7357 0.5158
Cl 0.1850 0.1067 0.8494

=====

# 7
An optimized crystal structure of InGe2BiO8, computed with PBE.

Symmetry: I-4m2, No. 119
V (Å³/cell): 153.8
Magnetization (μB per cell): 0.0
Crystal system: tetragonal
Theoretical density (g/cm3): 6.448
Uncorrected formation energy (eV/atom): -1.261

Cell: 5.8517 5.8517 5.8517 Å, 107.66 107.66 113.16°
Sites, in units of the cell vectors:
In 0.2500 0.7500 0.5000
Ge 0.7500 0.2500 0.5000
Ge 0.5000 0.5000 0.0000
Bi 0.0000 0.0000 0.0000
O 0.3747 0.0584 0.3163
O 0.3068 0.4906 0.1838
O 0.3068 0.1230 0.8162
O 0.7420 0.0584 0.6837
O 0.8770 0.6932 0.1838
O 0.9416 0.2580 0.3163
O 0.9416 0.6253 0.6837
O 0.5094 0.6932 0.8162

=====

# 8
An optimized crystal structure of CuNi2Pt2, computed with PBE.

ΔE to the lowest computed polymorph (eV per atom): 0.194
Symmetry: P4/mbm, No. 127
Formation energy (eV per atom): 0.1025
V (Å³/cell): 140.2
Magnetization (μB per cell): 2.9
Crystal system: tetragonal
Theoretical density (g/cm3): 13.530

Cell: 7.2164 7.2164 2.6918 Å, 90.00 90.00 90.00°
Each line ends with the local moment (μB).
Sites, in units of the cell vectors:
Ni 0.3808 0.8808 0.0000  0.54
Ni 0.8808 0.6192 0.0000  0.54
Ni 0.6192 0.1192 0.0000  0.54
Ni 0.1192 0.3808 0.0000  0.54
Cu 0.0000 0.0000 0.0000  -0.01
Cu 0.5000 0.5000 0.0000  -0.01
Pt 0.1780 0.6780 0.5000  0.20
Pt 0.6780 0.8220 0.5000  0.22
Pt 0.8220 0.3220 0.5000  0.20
Pt 0.3220 0.1780 0.5000  0.22

=====

# 9
An optimized crystal structure of BC2, computed with PBE.

ΔE to the lowest computed polymorph (eV per atom): 0.075
Symmetry: Cm, No. 8
Formation energy (eV per atom): 0.3154
V (Å³/cell): 75.6
Magnetization (μB per cell): 0.0
Crystal system: monoclinic
Theoretical density (g/cm3): 3.060

Cell: 4.4064 4.4064 8.0196 Å, 117.42 117.42 33.63°
Sites, in units of the cell vectors:
B 0.6523 0.6523 0.3181
B 0.4833 0.4833 0.4008
B 0.3553 0.3553 0.1539
B 0.5058 0.5058 0.8628
C 0.1786 0.1786 0.2035
C 0.0178 0.0178 0.0085
C 0.8471 0.8471 0.0214
C 0.6777 0.6777 0.8297
C 0.3211 0.3211 0.6658
C 0.1634 0.1634 0.7114
C 0.9837 0.9837 0.5228
C 0.8139 0.8139 0.5513

=====

# 10
An optimized crystal structure of LaInGa2Pt5, computed with PBE.

Symmetry: P4/mmm, No. 123
Formation energy (eV per atom): -0.5794
V (Å³/cell): 170.8
Magnetization (μB per cell): 0.0
Crystal system: tetragonal
Theoretical density (g/cm3): 13.304

Cell: 4.2347 4.2347 9.5255 Å, 90.00 90.00 90.00°
Sites, in units of the cell vectors:
La 0.0000 0.0000 0.5000
In 0.0000 0.0000 0.0000
Ga 0.5000 0.5000 0.1300
Ga 0.5000 0.5000 0.8700
Pt 0.0000 0.5000 0.2721
Pt 0.5000 0.0000 0.2721
Pt 0.0000 0.5000 0.7279
Pt 0.5000 0.0000 0.7279
Pt 0.5000 0.5000 0.5000

=====

# 11
An optimized crystal structure of Pm2SmPt2, computed with PBE.

ΔE to the lowest computed polymorph (eV per atom): 0.000
Symmetry: P4/mbm, No. 127
Formation energy (eV per atom): -0.9580
V (Å³/cell): 254.3
Magnetization (μB per cell): 0.0
Crystal system: tetragonal
Theoretical density (g/cm3): 10.845

Cell: 4.0440 7.9304 7.9304 Å, 90.00 90.00 90.00°
Sites, in units of the cell vectors:
Pm 0.5000 0.1631 0.6631
Pm 0.5000 0.6631 0.8369
Pm 0.5000 0.8369 0.3369
Pm 0.5000 0.3369 0.1631
Sm 0.0000 0.0000 0.0000
Sm 0.0000 0.5000 0.5000
Pt 0.0000 0.3651 0.8651
Pt 0.0000 0.8651 0.6349
Pt 0.0000 0.6349 0.1349
Pt 0.0000 0.1349 0.3651

=====

# 12
An optimized crystal structure of MnRhW, computed with PBE.

ΔE to the lowest computed polymorph (eV per atom): 0.137
Symmetry: P-6m2, No. 187
Formation energy (eV per atom): 0.1361
V (Å³/cell): 41.8
Magnetization (μB per cell): 0.0
Crystal system: hexagonal
Theoretical density (g/cm3): 13.586

Cell: 4.2543 4.2543 2.6645 Å, 90.00 90.00 120.00°
Sites, in units of the cell vectors:
Mn 0.0000 0.0000 0.8335
Rh 0.6667 0.3333 0.3333
W 0.3333 0.6667 0.8331

=====

Q: Which value of theoretical density does entry 4 give?
A: 6.853 g/cm3

=====

Q: Among the records above, which one has the highest magnetization?
A: CuNi2Pt2

=====

Q: What is the formula in the eighth record?
A: CuNi2Pt2

=====

Q: Look up the magnetization of the fifth one.
A: 0.0 μB per cell